Computed, not measured: an optimized crystal structure of K2DyMo3O12 at the PBE with a Hubbard U level of DFT.

Computed properties:
The calculation puts the spin magnetization at 1.0 μB per cell. The total energy comes out at -6.694 eV/atom.

Lattice parameters (Å, degrees): 7.5952 7.5952 7.5952 59.27 59.27 59.27
Fractional coordinates of all 18 atoms:
O1 0.9212 0.3570 0.9212
Mo1 0.5000 0.0000 0.0000
O2 0.9212 0.9212 0.3570
O3 0.7015 0.7015 0.0635
O4 0.2985 0.9365 0.2985
O5 0.0788 0.6430 0.0788
Mo2 0.0000 0.0000 0.5000
O6 0.7015 0.0635 0.7015
O7 0.9365 0.2985 0.2985
K1 0.3440 0.3440 0.3440
Dy1 0.0000 0.0000 0.0000
K2 0.6560 0.6560 0.6560
O8 0.6430 0.0788 0.0788
O9 0.0788 0.0788 0.6430
O10 0.0635 0.7015 0.7015
Mo3 0.0000 0.5000 0.0000
O11 0.2985 0.2985 0.9365
O12 0.3570 0.9212 0.9212